Computed, not measured: a geometry-optimized B2Pd2N structure at the PBE level of DFT.

abc: 2.915 2.915 12.051
angles: 90.00 90.00 90.00
Space group I4/mmm (No. 139)
Unique sites:
B  0.000  0.500  0.250
Pd  0.000  0.000  0.120
N  0.000  0.000  0.500

## Properties
distance to the lowest polymorph of the same formula	0.00	kcal/mol of atoms
crystal system	tetragonal
E_form (uncorrected)	0.68	eV/atom